Material: TbEr2Cd6
Method: DFT, GGA-PBE
State: relaxed

Crystal system: hexagonal
Total magnetic moment (μB per formula unit): 0.00
Space-group type: P6/mmm, No. 191
DFT formation energy (kJ per mole of atoms): -29.6
Density of states at the Fermi level (states/eV/f.u.): 7.04
VASP energy (eV/atom): -2.445

a = 8.6017 Å, b = 8.6017 Å, c = 3.4117 Å
α = 90.00°, β = 90.00°, γ = 120.00°
With the nearest neighbours (Å) after each atom.
Positions (direct):
1 Tb 0.0000 0.0000 0.0000  12 Cd 3.34, 2 Tb 3.41
2 Er 0.3333 0.6667 0.0000  12 Cd 3.33, 2 Er 3.41
3 Er 0.6667 0.3333 0.0000  12 Cd 3.33, 2 Er 3.41
4 Cd 0.0000 0.3343 0.5000  3 Cd 2.85-2.88
5 Cd 0.0000 0.6657 0.5000  3 Cd 2.85-2.88
6 Cd 0.3343 0.0000 0.5000  3 Cd 2.85-2.88
7 Cd 0.3343 0.3343 0.5000  3 Cd 2.85-2.88
8 Cd 0.6657 0.0000 0.5000  3 Cd 2.85-2.88
9 Cd 0.6657 0.6657 0.5000  3 Cd 2.85-2.88


Material: TbTh2UAs4
Method: DFT, GGA-PBE
State: relaxed

Crystal system: monoclinic
Total magnetic moment (μB per formula unit): 2.55
Space-group type: P2/m, No. 10
DFT formation energy (kJ per mole of atoms): -121.5
Density of states at the Fermi level (states/eV/f.u.): 9.47
VASP energy (eV/atom): -7.429

a = 7.2308 Å, b = 4.1755 Å, c = 7.2729 Å
α = 90.00°, β = 109.31°, γ = 90.00°
With the nearest neighbours (Å) after each atom.
Positions (direct):
1 Tb 0.0000 0.0000 0.0000  6 As 2.92-2.93
2 Th 0.5000 0.0000 0.5000  6 As 2.99
3 Th 0.5000 0.5000 0.0000  6 As 3.01
4 U 0.0000 0.5000 0.5000  6 As 2.91
5 As 0.2392 0.0000 0.7453  2 U 2.91, 1 Tb 2.92, 3 Th 2.99-3.01
6 As 0.2407 0.5000 0.2491  1 U 2.91, 2 Tb 2.93, 3 Th 2.99-3.01
7 As 0.7593 0.5000 0.7509  1 U 2.91, 2 Tb 2.93, 3 Th 2.99-3.01
8 As 0.7608 0.0000 0.2547  2 U 2.91, 1 Tb 2.92, 3 Th 2.99-3.01


Material: Zr3SbBr
Method: DFT, GGA-PBE
State: relaxed

Crystal system: cubic
Total magnetic moment (μB per formula unit): 1.13
Space-group type: Pm-3m, No. 221
E_form (uncorrected) (eV/atom): 0.279
Density of states at the Fermi level (states/eV/f.u.): 4.55
VASP energy (eV/atom): -6.009

a = 4.9767 Å, b = 4.9767 Å, c = 4.9767 Å
α = 90.00°, β = 90.00°, γ = 90.00°
With the nearest neighbours (Å) after each atom.
Positions (direct):
1 Zr 0.0000 0.0000 0.5000  2 Br 2.49
2 Zr 0.0000 0.5000 0.0000  2 Br 2.49
3 Zr 0.5000 0.0000 0.0000  2 Br 2.49
4 Sb 0.5000 0.5000 0.5000  12 Zr 3.52
5 Br 0.0000 0.0000 0.0000  6 Zr 2.49


Material: Sr2ZnAg2
Method: DFT, GGA-PBE
State: relaxed

Crystal system: tetragonal
Total magnetic moment (μB per formula unit): 0.00
Space-group type: P4/mbm, No. 127
DFT formation energy (kJ per mole of atoms): -5.7
Density of states at the Fermi level (states/eV/f.u.): 2.05
VASP energy (eV/atom): -2.127

a = 8.8359 Å, b = 8.8359 Å, c = 4.0543 Å
α = 90.00°, β = 90.00°, γ = 90.00°
With the nearest neighbours (Å) after each atom.
Positions (direct):
1 Sr 0.1733 0.3267 0.0000  2 Zn 3.27, 6 Ag 3.30-3.32
2 Sr 0.3267 0.8267 0.0000  2 Zn 3.27, 6 Ag 3.30-3.32
3 Sr 0.6733 0.1733 0.0000  2 Zn 3.27, 6 Ag 3.30-3.32
4 Sr 0.8267 0.6733 0.0000  2 Zn 3.27, 6 Ag 3.30-3.32
5 Zn 0.0000 0.0000 0.0000  4 Sr 3.27
6 Zn 0.5000 0.5000 0.0000  4 Sr 3.27
7 Ag 0.1167 0.6167 0.5000  1 Ag 2.92
8 Ag 0.3833 0.1167 0.5000  1 Ag 2.92
9 Ag 0.6167 0.8833 0.5000  1 Ag 2.92
10 Ag 0.8833 0.3833 0.5000  1 Ag 2.92


Material: V2IrPdRh
Method: DFT, GGA-PBE
State: relaxed

Crystal system: tetragonal
Total magnetic moment (μB per formula unit): 0.00
Space-group type: P4/mmm, No. 123
DFT formation energy (kJ per mole of atoms): 109.3
Density of states at the Fermi level (states/eV/f.u.): 7.56
VASP energy (eV/atom): -6.796

a = 4.4616 Å, b = 4.4616 Å, c = 4.8421 Å
α = 90.00°, β = 90.00°, γ = 90.00°
With the nearest neighbours (Å) after each atom.
Positions (direct):
1 V 0.0000 0.5000 0.0000  2 Ir 2.23
2 V 0.5000 0.0000 0.0000  2 Ir 2.23
3 Ir 0.0000 0.0000 0.0000  4 V 2.23, 2 Pd 2.42
4 Pd 0.0000 0.0000 0.5000  2 Ir 2.42
5 Rh 0.5000 0.5000 0.5000  4 Pd 3.15, 8 V 3.29


Material: FeP2
Method: DFT, GGA-PBE
State: relaxed

Crystal system: tetragonal
Total magnetic moment (μB per formula unit): 0.00
Space-group type: I4/mcm, No. 140
DFT formation energy (kJ per mole of atoms): -12.9
Density of states at the Fermi level (states/eV/f.u.): 1.47
VASP energy (eV/atom): -6.561

a = 4.5376 Å, b = 4.5376 Å, c = 4.5376 Å
α = 108.72°, β = 108.72°, γ = 110.99°
With the nearest neighbours (Å) after each atom.
Positions (direct):
1 Fe 0.2500 0.2500 0.0000  8 P 2.38, 2 Fe 2.57
2 Fe 0.7500 0.7500 0.0000  8 P 2.38, 2 Fe 2.57
3 P 0.1521 0.6521 0.8042  1 P 2.28, 4 Fe 2.38
4 P 0.3479 0.1521 0.5000  1 P 2.28, 4 Fe 2.38
5 P 0.6521 0.8479 0.5000  1 P 2.28, 4 Fe 2.38
6 P 0.8479 0.3479 0.1958  1 P 2.28, 4 Fe 2.38


Material: Zr2TaMn
Method: DFT, GGA-PBE
State: relaxed

Crystal system: orthorhombic
Total magnetic moment (μB per formula unit): 0.00
Space-group type: Immm, No. 71
DFT formation energy (kJ per mole of atoms): 11.3
Density of states at the Fermi level (states/eV/f.u.): 4.76
VASP energy (eV/atom): -9.412

a = 5.5215 Å, b = 5.5215 Å, c = 5.5215 Å
α = 145.82°, β = 128.48°, γ = 63.29°
With the nearest neighbours (Å) after each atom.
Positions (direct):
1 Zr 0.2211 0.2211 0.0000  2 Mn 2.64, 4 Zr 2.95
2 Zr 0.7789 0.7789 0.0000  2 Mn 2.64, 4 Zr 2.95
3 Ta 0.5000 0.0000 0.5000  4 Mn 2.90, 8 Zr 3.08-3.17
4 Mn 0.0000 0.5000 0.5000  4 Zr 2.64, 4 Ta 2.90


Material: In3AgPb4
Method: DFT, GGA-PBE
State: relaxed

Crystal system: tetragonal
Total magnetic moment (μB per formula unit): 0.00
Space-group type: P4/mmm, No. 123
DFT formation energy (kJ per mole of atoms): 4.0
Density of states at the Fermi level (states/eV/f.u.): 3.60
VASP energy (eV/atom): -3.196

a = 3.4546 Å, b = 3.4546 Å, c = 18.9707 Å
α = 90.00°, β = 90.00°, γ = 90.00°
With the nearest neighbours (Å) after each atom.
Positions (direct):
1 In 0.0000 0.0000 0.0000  4 In 3.45, 8 Pb 3.47
2 In 0.0000 0.0000 0.2576  8 Pb 3.44-3.58, 4 In 3.45
3 In 0.0000 0.0000 0.7424  8 Pb 3.44-3.58, 4 In 3.45
4 Ag 0.0000 0.0000 0.5000  8 Pb 3.15, 4 Ag 3.45
5 Pb 0.5000 0.5000 0.1299  8 In 3.44-3.47, 4 Pb 3.45
6 Pb 0.5000 0.5000 0.3953  4 Ag 3.15, 4 Pb 3.45
7 Pb 0.5000 0.5000 0.6047  4 Ag 3.15, 4 Pb 3.45
8 Pb 0.5000 0.5000 0.8701  8 In 3.44-3.47, 4 Pb 3.45


Material: Ba2CdGa4Pt3
Method: DFT, GGA-PBE
State: relaxed

Crystal system: tetragonal
Total magnetic moment (μB per formula unit): 0.00
Space-group type: P-4m2, No. 115
DFT formation energy (kJ per mole of atoms): -64.8
Density of states at the Fermi level (states/eV/f.u.): 5.89
VASP energy (eV/atom): -4.171

a = 4.5497 Å, b = 4.5497 Å, c = 10.8505 Å
α = 90.00°, β = 90.00°, γ = 90.00°
With the nearest neighbours (Å) after each atom.
Positions (direct):
1 Ba 0.0000 0.5000 0.2441  8 Ga 3.47-3.49, 6 Pt 3.49-3.59, 2 Cd 3.59
2 Ba 0.5000 0.0000 0.7559  8 Ga 3.47-3.49, 6 Pt 3.49-3.59, 2 Cd 3.59
3 Cd 0.0000 0.0000 0.5000  4 Ga 2.71
4 Ga 0.0000 0.0000 0.0000  4 Pt 2.62
5 Ga 0.0000 0.5000 0.6357  3 Pt 2.66-2.71, 2 Cd 2.71
6 Ga 0.5000 0.0000 0.3643  3 Pt 2.66-2.71, 2 Cd 2.71
7 Ga 0.5000 0.5000 0.0000  4 Pt 2.62
8 Pt 0.0000 0.5000 0.8809  5 Ga 2.62-2.66
9 Pt 0.5000 0.0000 0.1191  5 Ga 2.62-2.66
10 Pt 0.5000 0.5000 0.5000  4 Ga 2.71


Material: Sn2IrPt
Method: DFT, GGA-PBE
State: relaxed

Crystal system: cubic
Total magnetic moment (μB per formula unit): 0.00
Space-group type: Fm-3m, No. 225
DFT formation energy (kJ per mole of atoms): -5.0
Density of states at the Fermi level (states/eV/f.u.): 2.27
VASP energy (eV/atom): -5.779

a = 4.7040 Å, b = 4.7040 Å, c = 4.7040 Å
α = 60.00°, β = 60.00°, γ = 60.00°
With the nearest neighbours (Å) after each atom.
Positions (direct):
1 Sn 0.2500 0.2500 0.2500  4 Pt 2.88, 4 Ir 2.88
2 Sn 0.7500 0.7500 0.7500  4 Pt 2.88, 4 Ir 2.88
3 Ir 0.0000 0.0000 0.0000  8 Sn 2.88
4 Pt 0.5000 0.5000 0.5000  8 Sn 2.88


Material: Cs2GaSbI6
Method: DFT, GGA-PBE
State: relaxed

Crystal system: monoclinic
Total magnetic moment (μB per formula unit): 0.00
Space-group type: P2_1/c, No. 14
E_form (uncorrected) (eV/atom): -0.860
VASP energy (eV/atom): -2.676

a = 8.6615 Å, b = 8.7468 Å, c = 15.0946 Å
α = 90.00°, β = 124.98°, γ = 90.00°
With the nearest neighbours (Å) after each atom.
Positions (direct):
1 Cs 0.2396 0.0364 0.2498  8 I 4.02-4.26
2 Cs 0.2396 0.4636 0.7498  8 I 4.02-4.26
3 Cs 0.7604 0.5364 0.2502  8 I 4.02-4.26
4 Cs 0.7604 0.9636 0.7502  8 I 4.02-4.26
5 Ga 0.0000 0.0000 0.5000  6 I 3.17
6 Ga 0.0000 0.5000 0.0000  6 I 3.17
7 Sb 0.5000 0.0000 0.0000  6 I 3.05-3.06
8 Sb 0.5000 0.5000 0.5000  6 I 3.05-3.06
9 I 0.2015 0.2149 0.9774  1 Sb 3.05, 1 Ga 3.17
10 I 0.2015 0.2851 0.4774  1 Sb 3.05, 1 Ga 3.17
11 I 0.2653 0.7239 0.9797  1 Sb 3.06, 1 Ga 3.17
12 I 0.2653 0.7761 0.4797  1 Sb 3.06, 1 Ga 3.17
13 I 0.2967 0.0006 0.7547  1 Sb 3.05, 1 Ga 3.17
14 I 0.2967 0.4994 0.2547  1 Sb 3.05, 1 Ga 3.17
15 I 0.7033 0.5006 0.7453  1 Sb 3.05, 1 Ga 3.17
16 I 0.7033 0.9994 0.2453  1 Sb 3.05, 1 Ga 3.17
17 I 0.7347 0.2239 0.5203  1 Sb 3.06, 1 Ga 3.17
18 I 0.7347 0.2761 0.0203  1 Sb 3.06, 1 Ga 3.17
19 I 0.7985 0.7149 0.5226  1 Sb 3.05, 1 Ga 3.17
20 I 0.7985 0.7851 0.0226  1 Sb 3.05, 1 Ga 3.17


Material: SrPm5Tl6
Method: DFT, GGA-PBE
State: relaxed

Crystal system: monoclinic
Total magnetic moment (μB per formula unit): 0.00
Space-group type: C2/m, No. 12
DFT formation energy (kJ per mole of atoms): -36.1
Density of states at the Fermi level (states/eV/f.u.): 10.75
VASP energy (eV/atom): -3.677

a = 9.5960 Å, b = 9.5960 Å, c = 5.5242 Å
α = 106.71°, β = 106.71°, γ = 120.12°
With the nearest neighbours (Å) after each atom.
Positions (direct):
1 Sr 0.0000 0.0000 0.0000  8 Tl 3.44-3.45, 4 Pm 3.85
2 Pm 0.1609 0.8391 0.5000  8 Tl 3.37-3.42
3 Pm 0.3305 0.6695 0.0000  8 Tl 3.35-3.38
4 Pm 0.5000 0.5000 0.5000  8 Tl 3.33-3.40
5 Pm 0.6695 0.3305 0.0000  8 Tl 3.35-3.38
6 Pm 0.8391 0.1609 0.5000  8 Tl 3.37-3.42
7 Tl 0.0862 0.4246 0.2556  7 Pm 3.35-3.42, 1 Sr 3.45
8 Tl 0.2614 0.2614 0.7615  6 Pm 3.33-3.38, 2 Sr 3.44
9 Tl 0.4246 0.0862 0.2556  7 Pm 3.35-3.42, 1 Sr 3.45
10 Tl 0.5754 0.9138 0.7444  7 Pm 3.35-3.42, 1 Sr 3.45
11 Tl 0.7386 0.7386 0.2385  6 Pm 3.33-3.38, 2 Sr 3.44
12 Tl 0.9138 0.5754 0.7444  7 Pm 3.35-3.42, 1 Sr 3.45


Which of these has the highest VASP energy?
Sr2ZnAg2


What did the eleventh record say?
Material: Cs2GaSbI6
Method: DFT, GGA-PBE
State: relaxed

Crystal system: monoclinic
Total magnetic moment (μB per formula unit): 0.00
Space-group type: P2_1/c, No. 14
E_form (uncorrected) (eV/atom): -0.860
VASP energy (eV/atom): -2.676

a = 8.6615 Å, b = 8.7468 Å, c = 15.0946 Å
α = 90.00°, β = 124.98°, γ = 90.00°
With the nearest neighbours (Å) after each atom.
Positions (direct):
1 Cs 0.2396 0.0364 0.2498  8 I 4.02-4.26
2 Cs 0.2396 0.4636 0.7498  8 I 4.02-4.26
3 Cs 0.7604 0.5364 0.2502  8 I 4.02-4.26
4 Cs 0.7604 0.9636 0.7502  8 I 4.02-4.26
5 Ga 0.0000 0.0000 0.5000  6 I 3.17
6 Ga 0.0000 0.5000 0.0000  6 I 3.17
7 Sb 0.5000 0.0000 0.0000  6 I 3.05-3.06
8 Sb 0.5000 0.5000 0.5000  6 I 3.05-3.06
9 I 0.2015 0.2149 0.9774  1 Sb 3.05, 1 Ga 3.17
10 I 0.2015 0.2851 0.4774  1 Sb 3.05, 1 Ga 3.17
11 I 0.2653 0.7239 0.9797  1 Sb 3.06, 1 Ga 3.17
12 I 0.2653 0.7761 0.4797  1 Sb 3.06, 1 Ga 3.17
13 I 0.2967 0.0006 0.7547  1 Sb 3.05, 1 Ga 3.17
14 I 0.2967 0.4994 0.2547  1 Sb 3.05, 1 Ga 3.17
15 I 0.7033 0.5006 0.7453  1 Sb 3.05, 1 Ga 3.17
16 I 0.7033 0.9994 0.2453  1 Sb 3.05, 1 Ga 3.17
17 I 0.7347 0.2239 0.5203  1 Sb 3.06, 1 Ga 3.17
18 I 0.7347 0.2761 0.0203  1 Sb 3.06, 1 Ga 3.17
19 I 0.7985 0.7149 0.5226  1 Sb 3.05, 1 Ga 3.17
20 I 0.7985 0.7851 0.0226  1 Sb 3.05, 1 Ga 3.17


What is the VASP energy in the first record?
-2.445 eV/atom